Entry 1:
The following is a PBE calculation of a geometry-optimized LiNd2Tl4 structure, from Alexandria.

Structure (POSCAR):
```
LiNd2Tl4
1.0
-2.584 -1.972 -3.684
3.984 -2.470 -1.472
-2.805 -4.057 7.415
Li Nd Tl
1 2 4
Direct
0.000 0.000 0.000
0.642 0.642 0.283
0.358 0.358 0.717
0.834 0.834 0.668
0.166 0.166 0.332
0.000 0.500 0.000
0.500 0.000 0.000
```

crystal system: tetragonal
electronic total energy: -21.94 eV per cell
space group: I4/mmm

---

Entry 2:
The following is a PBE calculation of a geometry-optimized LiNd5Tl5 structure, from Alexandria.

Structure (POSCAR):
```
LiNd5Tl5
1.0
-3.860 -3.299 -2.655
7.085 -5.186 2.327
-4.451 0.675 5.634
Li Nd Tl
1 5 5
Direct
0.000 0.000 0.000
0.698 0.395 0.221
0.626 0.253 0.668
0.000 0.000 0.500
0.374 0.747 0.332
0.302 0.605 0.779
0.846 0.693 0.058
0.843 0.687 0.626
0.500 0.000 0.000
0.157 0.313 0.374
0.154 0.307 0.942
```

crystal system: monoclinic
electronic total energy: -39.58 eV per cell
space group: C2/m

---

Entry 3:
The following is a PBE calculation of a geometry-optimized LiNd2Tl6 structure, from Alexandria.

Structure (POSCAR):
```
LiNd2Tl6
1.0
-1.868 -1.054 -2.981
-5.920 -3.779 5.046
-1.305 8.856 -2.311
Li Nd Tl
1 2 6
Direct
0.000 0.000 0.000
0.500 0.691 0.383
0.500 0.309 0.617
0.000 0.337 0.310
0.000 0.027 0.690
0.000 0.663 0.690
0.500 0.312 0.000
0.000 0.973 0.310
0.500 0.688 0.000
```

crystal system: orthorhombic
electronic total energy: -26.97 eV per cell
space group: Cmmm

---

Entry 4:
The following is a PBE calculation of a geometry-optimized Li3Nd2Tl3 structure, from Alexandria.

Structure (POSCAR):
```
Li3Nd2Tl3
1.0
-1.960 -0.623 -6.054
-4.344 -7.557 2.184
-8.554 0.364 2.731
Li Nd Tl
6 4 6
Direct
0.750 0.000 0.284
0.750 0.284 0.716
0.750 0.716 0.000
0.250 0.000 0.716
0.250 0.716 0.284
0.250 0.284 0.000
0.000 0.333 0.333
0.500 0.667 0.667
0.000 0.667 0.667
0.500 0.333 0.333
0.750 0.000 0.641
0.750 0.641 0.359
0.750 0.359 0.000
0.250 0.000 0.359
0.250 0.359 0.641
0.250 0.641 0.000
```

crystal system: hexagonal
electronic total energy: -47.48 eV per cell
space group: P6_3/mcm

---

Q: Which value of electronic total energy does entry 3 give?
A: -26.97 eV per cell

---

Q: Which of these has the highest electronic total energy?
A: LiNd2Tl4

---

Q: Which of these has the highest electronic total energy?
A: LiNd2Tl4

---

Q: Which value of electronic total energy does entry 2 give?
A: -39.58 eV per cell